Model a:
## Pa2CdPd (PBE)

Data for crystalline Pa2CdPd at its relaxed geometry.

Unit cell a=3.8036 b=3.8036 c=6.5181 alpha=90.00 beta=90.00 gamma=90.00
Last column: nearest neighbours and their distance in Å.
Space group P4/mmm (No. 123)
Symmetry-distinct sites (fractional):
Pa 0.0000 0.0000 0.2121  1 Pa 2.77, 4 Pd 3.02
Cd 0.5000 0.5000 0.5000  2 Pd 3.26, 8 Pa 3.28
Pd 0.5000 0.5000 0.0000  8 Pa 3.02, 2 Cd 3.26

Results
- theoretical density (g cm⁻³) = 12.0
- crystal system = tetragonal
- magnetic moment (μB/f.u.) = 1.0

Model b:
## Pa2CdPd (PBE)

Data for crystalline Pa2CdPd at its relaxed geometry.

Unit cell a=3.0930 b=3.0930 c=34.4983 alpha=90.00 beta=90.00 gamma=120.00
Last column: nearest neighbours and their distance in Å.
Space group R-3m (No. 166, hexagonal axes)
Symmetry-distinct sites (fractional):
Pa 0.0000 0.0000 0.0952  3 Pd 3.04, 6 Pa 3.09, 1 Cd 3.29
Cd 0.0000 0.0000 0.0000  6 Cd 3.09, 2 Pa 3.29
Pd 0.0000 0.0000 0.5000  6 Pa 3.04, 6 Pd 3.09

Results
- theoretical density (g cm⁻³) = 11.9
- crystal system = trigonal
- magnetic moment (μB/f.u.) = 0.0

Least stable of them? model b.